An optimized crystal structure of In3Au13, computed with PBE-GGA.

Unit cell a=9.002 b=5.809 c=5.809 alpha=84.10 beta=90.00 gamma=90.00
Fractional coordinates of all 16 atoms:
1 In 0.000 0.000 0.000
2 In 0.263 0.319 0.319
3 In 0.737 0.319 0.319
4 Au 0.000 0.055 0.493
5 Au 0.000 0.493 0.055
6 Au 0.000 0.549 0.549
7 Au 0.244 0.788 0.788
8 Au 0.252 0.289 0.816
9 Au 0.252 0.816 0.289
10 Au 0.500 0.052 0.586
11 Au 0.500 0.077 0.077
12 Au 0.500 0.560 0.560
13 Au 0.500 0.586 0.052
14 Au 0.748 0.289 0.816
15 Au 0.748 0.816 0.289
16 Au 0.756 0.788 0.788

Values from the calculation:
* uncorrected energy: -3.242 eV/atom
* distance to the lowest polymorph of the same formula: 0.0000 eV/atom
* formation enthalpy at 0 K: -0.066 eV per atom
* space-group type: Amm2
* magnetic moment: 0.0 μB per formula unit